1.
{
  "formula": "CePaBiO2",
  "functional": "PBE",
  "state": "relaxed",
  "energy_ev_per_atom": -8.289,
  "raw_formation_energy_ev_per_atom": -2.444,
  "magmom_total_mub_per_fu": 2.0,
  "space_group": "I4mm, No. 107",
  "cell": [[-1.998, 1.998, 6.424], [1.998, -1.998, 6.424], [1.998, 1.998, -6.424]],
  "species": ["Ce", "Pa", "Bi", "O", "O"],
  "fractional_positions": [[0.000, 0.000, 0.000], [0.305, 0.305, 0.000], [0.653, 0.653, 0.000], [0.393, 0.893, 0.500], [0.893, 0.393, 0.500]]
}

=====

2.
{
  "formula": "CoRuCl3",
  "functional": "PBE",
  "state": "relaxed",
  "energy_ev_per_atom": -4.537,
  "raw_formation_energy_ev_per_atom": -0.152,
  "magmom_total_mub_per_fu": 1.1,
  "e_above_lowest_polymorph_mev_per_atom": 96,
  "space_group": "P1, No. 1",
  "cell": [[5.613, 0.000, 0.000], [1.980, 6.421, 0.000], [2.385, 2.556, 7.013]],
  "species": ["Co", "Co", "Ru", "Ru", "Cl", "Cl", "Cl", "Cl", "Cl", "Cl"],
  "fractional_positions": [[0.000, 0.000, 0.000], [0.273, 0.509, 0.912], [0.644, 0.356, 0.037], [0.815, 0.654, 0.943], [0.082, 0.660, 0.652], [0.175, 0.184, 0.101], [0.386, 0.828, 0.848], [0.497, 0.281, 0.355], [0.751, 0.761, 0.204], [0.786, 0.237, 0.771]]
}

=====

3.
{
  "formula": "AlTeSN2",
  "functional": "PBE",
  "state": "relaxed",
  "energy_ev_per_atom": -4.778,
  "raw_formation_energy_ev_per_atom": 0.754,
  "magmom_total_mub_per_fu": 0.2,
  "e_above_lowest_polymorph_mev_per_atom": 0,
  "space_group": "P4/mmm, No. 123",
  "cell": [[3.847, 0.000, 0.000], [0.000, 3.847, 0.000], [0.000, 0.000, 4.856]],
  "species": ["Al", "Te", "S", "N", "N"],
  "fractional_positions": [[0.000, 0.000, 0.000], [0.500, 0.500, 0.500], [0.000, 0.000, 0.500], [0.000, 0.500, 0.000], [0.500, 0.000, 0.000]]
}

=====

4.
{
  "formula": "Co2MoRu",
  "functional": "PBE",
  "state": "relaxed",
  "energy_ev_per_atom": -8.306,
  "magmom_total_mub_per_fu": 3.3,
  "e_above_lowest_polymorph_mev_per_atom": 264,
  "formation_energy_mev_per_atom": 274,
  "space_group": "Fm-3m, No. 225",
  "cell": [[0.000, 2.962, 2.962], [2.962, 0.000, 2.962], [2.962, 2.962, 0.000]],
  "species": ["Co", "Co", "Mo", "Ru"],
  "fractional_positions": [[0.250, 0.250, 0.250], [0.750, 0.750, 0.750], [0.000, 0.000, 0.000], [0.500, 0.500, 0.500]]
}

=====

5.
{
  "formula": "Na3P6Pd20",
  "functional": "PBE",
  "state": "relaxed",
  "energy_ev_per_atom": -5.330,
  "magmom_total_mub_per_fu": 0.0,
  "formation_energy_mev_per_atom": -493,
  "space_group": "Fm-3m, No. 225",
  "cell": [[0.000, 6.089, 6.089], [6.089, 0.000, 6.089], [6.089, 6.089, 0.000]],
  "species": ["Na", "Na", "Na", "P", "P", "P", "P", "P", "P", "Pd", "Pd", "Pd", "Pd", "Pd", "Pd", "Pd", "Pd", "Pd", "Pd", "Pd", "Pd", "Pd", "Pd", "Pd", "Pd", "Pd", "Pd", "Pd", "Pd"],
  "fractional_positions": [[0.000, 0.000, 0.000], [0.250, 0.250, 0.250], [0.750, 0.750, 0.750], [0.264, 0.264, 0.736], [0.264, 0.736, 0.264], [0.264, 0.736, 0.736], [0.736, 0.264, 0.264], [0.736, 0.264, 0.736], [0.736, 0.736, 0.264], [0.000, 0.000, 0.344], [0.000, 0.000, 0.656], [0.000, 0.344, 0.000], [0.000, 0.344, 0.656], [0.000, 0.656, 0.000], [0.000, 0.656, 0.344], [0.155, 0.615, 0.615], [0.344, 0.000, 0.000], [0.344, 0.000, 0.656], [0.344, 0.656, 0.000], [0.385, 0.385, 0.385], [0.385, 0.385, 0.845], [0.385, 0.845, 0.385], [0.615, 0.155, 0.615], [0.615, 0.615, 0.155], [0.615, 0.615, 0.615], [0.656, 0.000, 0.000], [0.656, 0.000, 0.344], [0.656, 0.344, 0.000], [0.845, 0.385, 0.385]]
}

=====

6.
{
  "formula": "MnCdPCl2",
  "functional": "PBE",
  "state": "relaxed",
  "energy_ev_per_atom": -3.966,
  "raw_formation_energy_ev_per_atom": -0.129,
  "magmom_total_mub_per_fu": 3.2,
  "e_above_lowest_polymorph_mev_per_atom": 0,
  "space_group": "P4/mmm, No. 123",
  "cell": [[4.827, 0.000, 0.000], [0.000, 4.827, 0.000], [0.000, 0.000, 4.709]],
  "species": ["Mn", "Cd", "P", "Cl", "Cl"],
  "fractional_positions": [[0.000, 0.000, 0.000], [0.500, 0.500, 0.500], [0.000, 0.000, 0.500], [0.000, 0.500, 0.000], [0.500, 0.000, 0.000]]
}